Record 1
The following is a DFT calculation (PBE) of RbGe2F11 after structural relaxation.

It has space group Ima2 (No. 46), with a = 11.136 Å, b = 9.395 Å, c = 9.561 Å, α = 90.00°, β = 90.00° and γ = 90.00°. The inequivalent atoms are Rb at (0.000, 0.000, 0.000), Ge at (0.250, 0.139, 0.648), Ge at (0.250, 0.640, 0.853), F at (0.135, 0.036, 0.736), F at (0.135, 0.237, 0.556), F at (0.135, 0.537, 0.764), F at (0.135, 0.736, 0.946), F at (0.250, 0.001, 0.500), F at (0.250, 0.231, 0.290) and F at (0.250, 0.730, 0.212).

The uncorrected energy comes out at -4.27 eV per atom. The total magnetization is 8.16 μB per cell. The value obtained for the energy relative to the elements, uncorrected is -2.0739 eV per atom. The density of states at the Fermi level comes out at 61.73 states/eV/cell.

Record 2
The following is a DFT calculation (PBE) of Sr2CoPt after structural relaxation.

It has space group Pmmm (No. 47), with a = 4.344 Å, b = 4.389 Å, c = 6.182 Å, α = 90.00°, β = 90.00° and γ = 90.00°. The inequivalent atoms are Sr at (0.000, 0.000, 0.000), Sr at (0.500, 0.500, 0.500), Co at (0.000, 0.000, 0.500) and Pt at (0.500, 0.500, 0.000).

The uncorrected energy comes out at -3.97 eV per atom. As for the energy of formation: 0.1610 eV/atom. The total magnetization is 1.26 μB per cell. The density of states at the Fermi level comes out at 4.80 states/eV/cell.

Record 3
The following is a DFT calculation (PBE) of Pm2Ga12Co after structural relaxation.

It has space group P4/nbm (No. 125, origin choice 2), with a = 6.024 Å, b = 6.024 Å, c = 15.575 Å, α = 90.00°, β = 90.00° and γ = 90.00°. The inequivalent atoms are Pm at (0.250, 0.750, 0.239), Ga at (0.000, 0.000, 0.083), Ga at (0.081, 0.581, 0.431), Ga at (0.250, 0.250, 0.186), Ga at (0.250, 0.250, 0.344) and Co at (0.250, 0.750, 0.000).

The uncorrected energy comes out at -3.91 eV per atom. As for the energy of formation: -0.3819 eV/atom. The total magnetization is 0.00 μB per cell. The density of states at the Fermi level comes out at 7.81 states/eV/cell.

Record 4
The following is a DFT calculation (PBE) of ErMgHgPb after structural relaxation.

It has space group F-43m (No. 216), with a = 7.369 Å, b = 7.369 Å, c = 7.369 Å, α = 90.00°, β = 90.00° and γ = 90.00°. The inequivalent atoms are Er at (0.000, 0.000, 0.000), Mg at (0.000, 0.000, 0.500), Hg at (0.250, 0.250, 0.250) and Pb at (0.250, 0.250, 0.750).

The uncorrected energy comes out at -2.83 eV per atom. As for the energy of formation: -0.2854 eV/atom. The total magnetization is 0.00 μB per cell. The density of states at the Fermi level comes out at 8.22 states/eV/cell. Its excess energy over the best structure of this formula in the dataset is 67.9 meV/atom.

Record 5
The following is a DFT calculation (PBE) of CeEuH after structural relaxation.

It has space group P3m1 (No. 156), with a = 3.6601 Å, b = 3.6601 Å, c = 6.0646 Å, α = 90.00°, β = 90.00° and γ = 120.00°. The inequivalent atoms are Ce at (0.0000, 0.0000, 0.0000), Eu at (0.3333, 0.6667, 0.4840) and H at (0.6667, 0.3333, 0.2232).

The uncorrected energy comes out at -6.63 eV per atom. The total magnetization is 8.87 μB per cell. The density of states at the Fermi level comes out at 6.44 states/eV/cell. Its excess energy over the best structure of this formula in the dataset is 23.8 meV/atom.

Record 6
The following is a DFT calculation (PBE) of Tc2Os after structural relaxation.

It has space group Fd-3m (No. 227, origin choice 2), with a = 7.110 Å, b = 7.110 Å, c = 7.110 Å, α = 90.00°, β = 90.00° and γ = 90.00°. The inequivalent atoms are Tc at (0.000, 0.000, 0.000) and Os at (0.125, 0.125, 0.625).

The uncorrected energy comes out at -10.21 eV per atom. As for the energy of formation: 0.4434 eV/atom. The total magnetization is 0.00 μB per cell. The density of states at the Fermi level comes out at 23.07 states/eV/cell. Its excess energy over the best structure of this formula in the dataset is 507.6 meV/atom.

Record 7
The following is a DFT calculation (PBE) of YTe after structural relaxation.

It has space group Cmcm (No. 63), with a = 4.181 Å, b = 15.171 Å, c = 4.178 Å, α = 90.00°, β = 90.00° and γ = 90.00°. The inequivalent atoms are Y at (0.000, 0.175, 0.250) and Te at (0.000, 0.380, 0.250).

The uncorrected energy comes out at -6.06 eV per atom. The total magnetization is 0.00 μB per cell. The value obtained for the energy relative to the elements, uncorrected is -1.2617 eV per atom. The density of states at the Fermi level comes out at 4.91 states/eV/cell.

Record 8
The following is a DFT calculation (PBE) of Nd4CdC after structural relaxation.

It has space group C2/c (No. 15), with a = 8.703 Å, b = 14.453 Å, c = 6.342 Å, α = 90.00°, β = 117.20° and γ = 90.00°. The inequivalent atoms are Nd at (0.134, 0.201, 0.134), Nd at (0.208, 0.049, 0.681), Cd at (0.000, 0.386, 0.750) and C at (0.000, 0.073, 0.250).

The uncorrected energy comes out at -4.92 eV per atom. As for the energy of formation: -0.0503 eV/atom. The total magnetization is 0.00 μB per cell. The density of states at the Fermi level comes out at 27.49 states/eV/cell.

Record 9
The following is a DFT calculation (PBE) of CsCd3H after structural relaxation.

It has space group Pm-3m (No. 221), with a = 7.482 Å, b = 7.482 Å, c = 7.482 Å, α = 90.00°, β = 90.00° and γ = 90.00°. The inequivalent atoms are Cs at (0.000, 0.000, 0.000), Cd at (0.000, 0.000, 0.500) and H at (0.500, 0.500, 0.500).

The uncorrected energy comes out at -0.58 eV per atom. The total magnetization is 0.24 μB per cell. The density of states at the Fermi level comes out at 5.20 states/eV/cell. Its excess energy over the best structure of this formula in the dataset is 467.0 meV/atom.

Record 10
The following is a DFT calculation (PBE) of RbHf2ScBr after structural relaxation.

It has space group P4/mmm (No. 123), with a = 5.176 Å, b = 5.176 Å, c = 6.259 Å, α = 90.00°, β = 90.00° and γ = 90.00°. The inequivalent atoms are Rb at (0.000, 0.000, 0.000), Hf at (0.000, 0.500, 0.500), Sc at (0.500, 0.500, 0.500) and Br at (0.500, 0.500, 0.000).

The uncorrected energy comes out at -4.83 eV per atom. The total magnetization is 1.04 μB per cell. The value obtained for the energy relative to the elements, uncorrected is 0.9478 eV per atom. The density of states at the Fermi level comes out at 5.91 states/eV/cell.

Record 11
The following is a DFT calculation (PBE) of Ti2NbV after structural relaxation.

It has space group Cmcm (No. 63), with a = 3.280 Å, b = 10.027 Å, c = 8.191 Å, α = 90.00°, β = 90.00° and γ = 90.00°. The inequivalent atoms are Ti at (0.000, 0.137, 0.053), Nb at (0.000, 0.468, 0.250) and V at (0.000, 0.236, 0.750).

The uncorrected energy comes out at -8.59 eV per atom. As for the energy of formation: 0.1584 eV/atom. The total magnetization is 0.00 μB per cell. The density of states at the Fermi level comes out at 20.42 states/eV/cell. Its excess energy over the best structure of this formula in the dataset is 71.9 meV/atom.

Record 12
The following is a DFT calculation (PBE) of Ag3PdCl4 after structural relaxation.

It has space group Pmn2_1 (No. 31), with a = 7.686 Å, b = 7.106 Å, c = 7.057 Å, α = 90.00°, β = 90.00° and γ = 90.00°. The inequivalent atoms are Ag at (0.000, 0.094, 0.000), Ag at (0.190, 0.713, 0.992), Pd at (0.000, 0.855, 0.653), Cl at (0.000, 0.203, 0.654), Cl at (0.000, 0.852, 0.266) and Cl at (0.242, 0.355, 0.143).

The uncorrected energy comes out at -2.93 eV per atom. The total magnetization is 1.92 μB per cell. The value obtained for the energy relative to the elements, uncorrected is -0.2886 eV per atom. The density of states at the Fermi level comes out at 6.34 states/eV/cell.

Copy entry 4 word for word.
The following is a DFT calculation (PBE) of ErMgHgPb after structural relaxation.

It has space group F-43m (No. 216), with a = 7.369 Å, b = 7.369 Å, c = 7.369 Å, α = 90.00°, β = 90.00° and γ = 90.00°. The inequivalent atoms are Er at (0.000, 0.000, 0.000), Mg at (0.000, 0.000, 0.500), Hg at (0.250, 0.250, 0.250) and Pb at (0.250, 0.250, 0.750).

The uncorrected energy comes out at -2.83 eV per atom. As for the energy of formation: -0.2854 eV/atom. The total magnetization is 0.00 μB per cell. The density of states at the Fermi level comes out at 8.22 states/eV/cell. Its excess energy over the best structure of this formula in the dataset is 67.9 meV/atom.

Question: Which value of uncorrected energy does entry 2 give?
Answer: -3.97 eV per atom

Question: Look up the density of states at the Fermi level of the tenth one.
Answer: 5.91 states/eV/cell